[1]
10
Lattice="6.970 0.000 0.000 0.000 6.970 0.000 0.000 0.000 3.985" Properties=species:S:1:pos:R:3 comment="MgCu2Sn2 | the Alexandria database | PBE-GGA | relaxed" total_energy_ev_per_atom=-3.54 space_group="P4/mbm (127)" pbc="T T T"
Mg 0.000 0.000 0.000
Mg 3.485 3.485 0.000
Cu 0.884 2.601 0.000
Cu 2.601 6.087 0.000
Cu 4.369 0.884 0.000
Cu 6.087 4.369 0.000
Sn 1.201 4.686 1.992
Sn 2.284 1.201 1.992
Sn 4.686 5.769 1.992
Sn 5.769 2.284 1.992


[2]
10
Lattice="7.037 0.000 0.000 0.000 7.037 0.000 0.000 0.000 4.586" Properties=species:S:1:pos:R:3 comment="Mg2CuSn2 | the Alexandria database | PBE-GGA | relaxed" de_polymorph_ev_per_atom=0.000 total_energy_ev_per_atom=-3.05 space_group="P4/mbm (127)" pbc="T T T"
Mg 1.145 2.374 0.000
Mg 2.374 5.892 0.000
Mg 4.663 1.145 0.000
Mg 5.892 4.663 0.000
Cu 0.000 0.000 2.293
Cu 3.518 3.518 2.293
Sn 1.066 4.584 2.293
Sn 2.453 1.066 2.293
Sn 4.584 5.971 2.293
Sn 5.971 2.453 2.293


[3]
10
Lattice="7.838 0.000 0.000 0.000 7.838 0.000 0.000 0.000 3.292" Properties=species:S:1:pos:R:3 comment="MgCu2Sn2 | the Alexandria database | PBE-GGA | relaxed" total_energy_ev_per_atom=-3.42 space_group="P4/mbm (127)" pbc="T T T"
Mg 0.000 0.000 0.000
Mg 3.919 3.919 0.000
Cu 0.955 2.964 1.646
Cu 2.964 6.883 1.646
Cu 4.873 0.955 1.646
Cu 6.883 4.873 1.646
Sn 1.320 5.238 0.000
Sn 2.599 1.320 0.000
Sn 5.238 6.518 0.000
Sn 6.518 2.599 0.000


[4]
8
Lattice="1.947 -6.126 0.000 1.947 6.126 0.000 0.000 0.000 5.878" Properties=species:S:1:pos:R:3 comment="MgCu2Sn | the Alexandria database | PBE-GGA | relaxed" total_energy_ev_per_atom=-3.50 space_group="Cmcm (63)" pbc="T T T"
Mg 1.947 5.724 4.408
Mg 1.947 -5.724 1.469
Cu 1.947 1.246 3.154
Cu 1.947 1.246 5.662
Cu 1.947 -1.246 0.215
Cu 1.947 -1.246 2.723
Sn 1.947 3.364 1.469
Sn 1.947 -3.364 4.408


[5]
4
Lattice="4.543 0.000 0.000 0.000 4.543 0.000 0.000 0.000 4.135" Properties=species:S:1:pos:R:3 comment="MgCuSn2 | the Alexandria database | PBE-GGA | relaxed" total_energy_ev_per_atom=-3.38 space_group="P4/mmm (123)" pbc="T T T"
Mg 0.000 0.000 0.000
Cu 2.271 2.271 0.000
Sn 0.000 2.271 2.067
Sn 2.271 0.000 2.067


[6]
4
Lattice="1.532 0.884 10.926 -1.532 0.884 10.926 0.000 -1.769 10.926" Properties=species:S:1:pos:R:3 comment="Mg2CuSn | the Alexandria database | PBE-GGA | relaxed" total_energy_ev_per_atom=-2.51 space_group="R-3m (166)" pbc="T T T"
Mg 0.000 0.000 2.621
Mg 0.000 0.000 30.157
Cu 0.000 0.000 0.000
Sn 0.000 0.000 16.389


[7]
4
Lattice="1.718 0.992 9.500 -1.718 0.992 9.500 0.000 -1.984 9.500" Properties=species:S:1:pos:R:3 comment="MgCuSn2 | the Alexandria database | PBE-GGA | relaxed" total_energy_ev_per_atom=-3.29 space_group="R-3m (166)" pbc="T T T"
Mg 0.000 0.000 0.000
Cu 0.000 0.000 14.250
Sn 0.000 0.000 2.899
Sn 0.000 0.000 25.601


[8]
3
Lattice="0.000 3.121 3.121 3.121 0.000 3.121 3.121 3.121 0.000" Properties=species:S:1:pos:R:3 comment="MgCuSn | the Alexandria database | PBE-GGA | relaxed" total_energy_ev_per_atom=-3.41 space_group="F-43m (216)" pbc="T T T"
Mg 0.000 0.000 0.000
Cu 4.681 4.681 4.681
Sn 3.121 3.121 3.121


[9]
8
Lattice="-2.291 2.291 9.039 2.291 -2.291 9.039 2.291 2.291 -9.039" Properties=species:S:1:pos:R:3 comment="MgCuSn2 | the Alexandria database | PBE-GGA | relaxed" total_energy_ev_per_atom=-3.33 space_group="I-42d (122)" pbc="T T T"
Mg 0.000 0.000 0.000
Mg 0.000 2.291 4.519
Cu 2.291 0.000 4.519
Cu 0.000 0.000 9.039
Sn 1.146 -0.992 6.779
Sn 1.299 1.146 2.260
Sn 1.146 3.284 -2.260
Sn 0.992 1.146 11.298


[10]
4
Lattice="3.393 0.000 0.000 0.000 3.393 0.000 0.000 0.000 5.880" Properties=species:S:1:pos:R:3 comment="MgCu2Sn | the Alexandria database | PBE-GGA | relaxed" total_energy_ev_per_atom=-3.46 space_group="P4/mmm (123)" pbc="T T T"
Mg 0.000 0.000 0.000
Cu 1.697 1.697 1.362
Cu 1.697 1.697 4.517
Sn 0.000 0.000 2.940


[11]
28
Lattice="8.022 0.000 0.000 0.000 5.032 0.000 0.000 0.000 10.440" Properties=species:S:1:pos:R:3 comment="MgCu5Sn | the Alexandria database | PBE-GGA | relaxed" total_energy_ev_per_atom=-3.77 space_group="Pnma (62)" pbc="T T T"
Mg 1.899 1.258 0.585
Mg 2.112 3.774 5.805
Mg 5.910 1.258 4.635
Mg 6.123 3.774 9.855
Cu 0.531 2.527 8.537
Cu 0.531 5.021 8.537
Cu 0.552 1.258 6.276
Cu 0.832 3.774 0.229
Cu 1.478 3.774 2.638
Cu 2.533 1.258 7.858
Cu 3.179 1.258 5.449
Cu 3.459 3.774 1.056
Cu 3.480 0.011 3.317
Cu 3.480 2.505 3.317
Cu 4.543 2.527 7.123
Cu 4.543 5.021 7.123
Cu 4.563 1.258 9.384
Cu 4.843 3.774 4.991
Cu 5.489 3.774 2.582
Cu 6.544 1.258 7.803
Cu 7.190 1.258 10.211
Cu 7.470 3.774 4.164
Cu 7.491 0.011 1.903
Cu 7.491 2.505 1.903
Sn 1.051 1.258 3.728
Sn 2.960 3.774 8.948
Sn 5.062 1.258 1.493
Sn 6.971 3.774 6.713


[12]
4
Lattice="4.322 0.000 0.000 0.000 4.322 0.000 0.000 0.000 4.139" Properties=species:S:1:pos:R:3 comment="Mg2CuSn | the Alexandria database | PBE-GGA | relaxed" total_energy_ev_per_atom=-2.90 space_group="P4/mmm (123)" pbc="T T T"
Mg 0.000 2.161 0.000
Mg 2.161 0.000 0.000
Cu 0.000 0.000 2.070
Sn 2.161 2.161 2.070


[13]
12
Lattice="5.132 0.000 0.000 -2.566 4.444 0.000 0.000 0.000 8.150" Properties=species:S:1:pos:R:3 comment="MgCu8Sn3 | the Alexandria database | PBE-GGA | relaxed" total_energy_ev_per_atom=-3.88 space_group="P3m1 (156)" pbc="T T T"
Mg 0.000 0.000 0.000
Cu 0.000 1.463 5.670
Cu -1.299 3.713 5.670
Cu 0.000 2.963 3.639
Cu 0.000 2.963 7.697
Cu 2.566 0.005 1.573
Cu 1.288 2.219 1.573
Cu 1.299 3.713 5.670
Cu 3.844 2.219 1.573
Sn 0.000 0.000 3.073
Sn 2.566 1.481 4.084
Sn 2.566 1.481 7.302


[14]
12
Lattice="0.000 4.467 7.660 2.936 0.000 7.660 2.936 4.467 0.000" Properties=species:S:1:pos:R:3 comment="Mg2Cu3Sn | the Alexandria database | PBE-GGA | relaxed" total_energy_ev_per_atom=-3.29 space_group="Fmmm (69)" pbc="T T T"
Mg 4.466 4.467 7.660
Mg 1.468 2.234 3.830
Mg 4.404 6.701 11.490
Mg 1.406 4.467 7.660
Cu 2.936 2.157 6.422
Cu 2.936 4.467 2.488
Cu 2.936 2.157 8.898
Cu 2.936 6.777 6.422
Cu 2.936 4.467 12.832
Cu 2.936 6.777 8.898
Sn 2.936 4.467 5.144
Sn 2.936 4.467 10.176


[15]
8
Lattice="5.667 0.000 0.000 0.000 4.380 0.000 -2.645 0.000 6.471" Properties=species:S:1:pos:R:3 comment="Mg2CuSn | the Alexandria database | PBE-GGA | relaxed" total_energy_ev_per_atom=-2.93 space_group="P2_1/m (11)" pbc="T T T"
Mg -0.368 1.095 2.737
Mg -1.002 1.095 5.891
Mg 4.024 3.285 0.581
Mg 3.390 3.285 3.734
Cu 0.361 3.285 4.365
Cu 2.661 1.095 2.107
Sn 1.192 3.285 1.498
Sn 1.830 1.095 4.973


[16]
12
Lattice="2.502 1.444 8.226 -2.502 1.444 8.226 0.000 -2.889 8.226" Properties=species:S:1:pos:R:3 comment="MgCu9Sn2 | the Alexandria database | PBE-GGA | relaxed" total_energy_ev_per_atom=-3.87 space_group="R-3m (166)" pbc="T T T"
Mg 0.000 0.000 0.000
Cu -1.257 -0.726 10.259
Cu 0.000 0.000 8.223
Cu 0.000 -1.451 14.418
Cu -1.257 0.726 14.418
Cu 0.000 0.000 12.339
Cu 1.257 -0.726 10.259
Cu 0.000 1.451 10.259
Cu 0.000 0.000 16.454
Cu 1.257 0.726 14.418
Sn 0.000 0.000 3.329
Sn 0.000 0.000 21.348


[17]
8
Lattice="-3.916 3.916 2.841 3.916 -3.916 2.841 3.916 3.916 -2.841" Properties=species:S:1:pos:R:3 comment="Mg2CuSn | the Alexandria database | PBE-GGA | relaxed" total_energy_ev_per_atom=-2.69 space_group="I-42d (122)" pbc="T T T"
Mg 1.958 1.564 -0.710
Mg 2.353 -1.958 3.551
Mg 1.958 2.353 2.131
Mg 1.564 5.874 0.710
Cu 0.000 0.000 0.000
Cu 0.000 3.916 1.420
Sn 3.916 0.000 1.420
Sn 0.000 0.000 2.841


[18]
4
Lattice="3.315 0.000 0.000 0.000 3.315 0.000 0.000 0.000 7.195" Properties=species:S:1:pos:R:3 comment="Mg2CuSn | the Alexandria database | PBE-GGA | relaxed" total_energy_ev_per_atom=-2.92 space_group="P4/mmm (123)" pbc="T T T"
Mg 0.000 0.000 1.470
Mg 0.000 0.000 5.725
Cu 1.657 1.657 0.000
Sn 1.657 1.657 3.598


[19]
4
Lattice="4.208 0.000 0.000 0.000 4.208 0.000 0.000 0.000 3.769" Properties=species:S:1:pos:R:3 comment="MgCu2Sn | the Alexandria database | PBE-GGA | relaxed" total_energy_ev_per_atom=-3.48 space_group="P4/mmm (123)" pbc="T T T"
Mg 0.000 0.000 0.000
Cu 0.000 2.104 1.884
Cu 2.104 0.000 1.884
Sn 2.104 2.104 0.000


[20]
4
Lattice="2.178 1.257 5.648 -2.178 1.257 5.648 0.000 -2.515 5.648" Properties=species:S:1:pos:R:3 comment="MgCuSn2 | the Alexandria database | PBE-GGA | relaxed" total_energy_ev_per_atom=-3.42 space_group="R3m (160)" pbc="T T T"
Mg 0.000 0.000 0.000
Cu 0.000 0.000 14.119
Sn 0.000 0.000 3.869
Sn 0.000 0.000 7.328


[21]
4
Lattice="3.274 0.000 0.000 0.000 3.274 0.000 0.000 0.000 8.053" Properties=species:S:1:pos:R:3 comment="MgCuSn2 | the Alexandria database | PBE-GGA | relaxed" total_energy_ev_per_atom=-3.39 space_group="P4/mmm (123)" pbc="T T T"
Mg 0.000 0.000 0.000
Cu 0.000 0.000 4.026
Sn 1.637 1.637 2.293
Sn 1.637 1.637 5.760


[22]
3
Lattice="-1.657 1.657 5.367 1.657 -1.657 5.367 1.657 1.657 -5.367" Properties=species:S:1:pos:R:3 comment="MgCuSn | the Alexandria database | PBE-GGA | relaxed" total_energy_ev_per_atom=-3.24 space_group="I4mm (107)" pbc="T T T"
Mg 0.000 0.000 0.000
Cu 0.000 0.000 3.865
Sn 0.000 0.000 7.578


[23]
10
Lattice="7.025 0.000 0.000 0.000 7.025 0.000 0.000 0.000 4.557" Properties=species:S:1:pos:R:3 comment="Mg2CuSn2 | the Alexandria database | PBE-GGA | relaxed" de_polymorph_ev_per_atom=0.090 total_energy_ev_per_atom=-2.96 space_group="P4/mbm (127)" pbc="T T T"
Mg 1.072 2.440 0.000
Mg 2.440 5.952 0.000
Mg 4.585 1.072 0.000
Mg 5.952 4.585 0.000
Cu 0.000 0.000 0.000
Cu 3.512 3.512 0.000
Sn 1.125 4.638 2.278
Sn 2.387 1.125 2.278
Sn 4.638 5.899 2.278
Sn 5.899 2.387 2.278


[24]
4
Lattice="1.620 0.935 9.084 -1.620 0.935 9.084 0.000 -1.871 9.084" Properties=species:S:1:pos:R:3 comment="Mg2CuSn | the Alexandria database | PBE-GGA | relaxed" total_energy_ev_per_atom=-2.81 space_group="R3m (160)" pbc="T T T"
Mg 0.000 0.000 0.000
Mg 0.000 0.000 5.196
Cu 0.000 0.000 16.228
Sn 0.000 0.000 11.701


[25]
3
Lattice="4.483 0.000 0.000 -2.241 3.882 0.000 0.000 0.000 3.423" Properties=species:S:1:pos:R:3 comment="MgCuSn | the Alexandria database | PBE-GGA | relaxed" total_energy_ev_per_atom=-3.27 space_group="P-6m2 (187)" pbc="T T T"
Mg 0.000 0.000 0.000
Cu 0.000 2.588 1.711
Sn 2.241 1.294 1.711